Record 1
# Pr3Y2Tl6 PBE-GGA optimized geometry
data_Pr3Y2Tl6
_symmetry_space_group_name_H-M 'P 1'
_symmetry_Int_Tables_number 1
_symmetry_space_group_name_Hall 'P 1'
_cell_length_a 4.877
_cell_length_b 4.877
_cell_length_c 15.044
_cell_angle_alpha 99.33
_cell_angle_beta 99.33
_cell_angle_gamma 90.00
loop_
_atom_site_label
_atom_site_type_symbol
_atom_site_fract_x
_atom_site_fract_y
_atom_site_fract_z
_atom_site_occupancy
Y1 Y 0.554 0.554 0.109 1
Y2 Y 0.446 0.446 0.891 1
Tl1 Tl 0.117 0.617 0.234 1
Tl2 Tl 0.307 0.307 0.614 1
Tl3 Tl 0.693 0.693 0.386 1
Tl4 Tl 0.883 0.383 0.766 1
Tl5 Tl 0.383 0.883 0.766 1
Tl6 Tl 0.617 0.117 0.234 1
Pr1 Pr 0.802 0.802 0.603 1
Pr2 Pr 0.000 0.000 0.000 1
Pr3 Pr 0.198 0.198 0.397 1
# * symmetry: I4/mmm
# * E_tot: -42.90 eV per formula unit
# * calculated formation energy: -0.131 eV per atom

***

Record 2
# Tc2Ir PBE-GGA optimized geometry
data_Tc2Ir
_symmetry_space_group_name_H-M 'P 1'
_symmetry_Int_Tables_number 1
_symmetry_space_group_name_Hall 'P 1'
_cell_length_a 4.328
_cell_length_b 4.328
_cell_length_c 2.721
_cell_angle_alpha 90.00
_cell_angle_beta 90.00
_cell_angle_gamma 120.00
loop_
_atom_site_label
_atom_site_type_symbol
_atom_site_fract_x
_atom_site_fract_y
_atom_site_fract_z
_atom_site_occupancy
Tc1 Tc 0.333 0.667 0.000 1
Tc2 Tc 0.667 0.333 0.000 1
Ir1 Ir 0.000 0.000 0.500 1
# * symmetry: P6/mmm
# * E_tot: -29.58 eV per formula unit
# * E above lowest polymorph: 0.217 eV/atom
# * calculated formation energy: 0.005 eV per atom